Density functional theory data (PBE) for crystalline SiSeCl2 at its relaxed geometry.

The structure belongs to space group Pmmm (No. 47); the cell edges are 3.3049, 4.3970 and 5.7058 Å and the angles 90.00°, 90.00° and 90.00°. The distinct sites, in fractional coordinates, are Si at (0.0000, 0.0000, 0.0000), Se at (0.5000, 0.0000, 0.5000), Cl at (0.0000, 0.5000, 0.5000) and Cl at (0.5000, 0.5000, 0.0000).

The calculation puts the excess energy over the best structure of this formula in the dataset at 592 meV per atom. The calculation puts the volume at 83 Å³ per cell.